PrAl2PdAu2 | PBE | optimized geometry

Unit cell a=4.688 b=4.688 c=5.872 alpha=90.00 beta=90.00 gamma=90.00
Fractional positions:
Pr (0.000, 0.000, 0.000)
Al (0.000, 0.500, 0.500)
Al (0.500, 0.000, 0.500)
Pd (0.000, 0.000, 0.500)
Au (0.500, 0.500, 0.234)
Au (0.500, 0.500, 0.766)

Summary:
Calculated density   8.9 g/cm3
Space-group type   P4/mmm, No. 123
Total magnetization   0.00 μB/f.u.
Energy   -4.49 eV/atom
DFT formation energy   -0.490 eV/atom



Mg2Ti | PBE | optimized geometry

Unit cell a=4.919 b=9.229 c=5.474 alpha=90.00 beta=90.00 gamma=90.00
Fractional positions:
Mg (0.250, 0.078, 0.093)
Mg (0.250, 0.250, 0.571)
Mg (0.250, 0.422, 0.093)
Mg (0.250, 0.750, 0.091)
Mg (0.750, 0.250, 0.909)
Mg (0.750, 0.578, 0.907)
Mg (0.750, 0.750, 0.429)
Mg (0.750, 0.922, 0.907)
Ti (0.250, 0.580, 0.575)
Ti (0.250, 0.920, 0.575)
Ti (0.750, 0.080, 0.425)
Ti (0.750, 0.420, 0.425)

Summary:
Calculated density   2.6 g/cm3
Space-group type   Pmmn, No. 59
Total magnetization   1.62 μB/f.u.
Energy   -3.50 eV/atom
DFT formation energy   0.195 eV/atom